Entry from the Alexandria database: ZrTcBi3 after structural relaxation (PBE-GGA). Values from VASP.

Properties
- Polymorph energy (0 for the lowest one): 294 meV per atom
- Formation enthalpy at 0 K: 1.140 eV/atom
- Total moment: 4.11 Bohr magnetons per cell
- Crystal system: cubic

Structure (Quantum ESPRESSO input):
```
&SYSTEM
  ibrav = 0, nat = 5, ntyp = 3
/
ATOMIC_SPECIES
Bi 208.98 Bi.upf
Zr 91.22 Zr.upf
Tc 98.00 Tc.upf
CELL_PARAMETERS angstrom
-0.938 4.170 3.670
-5.230 -1.917 0.842
1.872 -3.267 4.191
ATOMIC_POSITIONS angstrom
Bi -2.615 -0.958 0.421
Bi 0.936 -1.633 2.095
Bi -0.469 2.085 1.835
Zr 0.000 0.000 0.000
Tc -2.148 -0.507 4.351
```


Entry from the Alexandria database: ZrAg2Rh2 after structural relaxation (PBE-GGA). Values from VASP.

Properties
- Formation enthalpy at 0 K: -0.052 eV/atom
- Total moment: 0.00 Bohr magnetons per cell
- Crystal system: tetragonal

Structure (Quantum ESPRESSO input):
```
&SYSTEM
  ibrav = 0, nat = 10, ntyp = 3
/
ATOMIC_SPECIES
Rh 102.91 Rh.upf
Zr 91.22 Zr.upf
Ag 107.87 Ag.upf
CELL_PARAMETERS angstrom
-4.991 -2.995 3.237
4.410 -3.386 3.667
-0.002 3.008 2.780
ATOMIC_POSITIONS angstrom
Rh 1.995 -4.002 4.332
Rh -1.488 -4.742 5.130
Rh -2.576 -2.379 2.572
Rh 0.907 -1.639 1.774
Zr 0.000 0.000 0.000
Zr -0.291 -3.191 3.452
Ag 2.111 -1.213 4.331
Ag 0.405 -3.317 6.606
Ag -2.694 -2.161 5.353
Ag -0.989 -0.056 3.077
```


Entry from the Alexandria database: SrYRe2 after structural relaxation (PBE-GGA). Values from VASP.

Properties
- Polymorph energy (0 for the lowest one): 1199 meV per atom
- Formation enthalpy at 0 K: 1.439 eV/atom
- Total moment: 1.35 Bohr magnetons per cell
- Crystal system: tetragonal

Structure (Quantum ESPRESSO input):
```
&SYSTEM
  ibrav = 0, nat = 8, ntyp = 3
/
ATOMIC_SPECIES
Y 88.91 Y.upf
Re 186.21 Re.upf
Sr 87.62 Sr.upf
CELL_PARAMETERS angstrom
8.181 0.000 0.000
0.000 8.181 0.000
4.090 4.090 2.749
ATOMIC_POSITIONS angstrom
Y 0.000 0.000 0.000
Y 8.181 4.090 1.374
Re 6.260 2.045 0.687
Re 1.921 6.136 0.687
Re 6.136 6.011 2.062
Re 10.226 10.350 2.062
Sr 4.090 4.090 0.000
Sr 4.090 8.181 1.374
```


Entry from the Alexandria database: Sc2GeAu after structural relaxation (PBE-GGA). Values from VASP.

Properties
- Formation enthalpy at 0 K: -0.077 eV/atom
- Total moment: 0.00 Bohr magnetons per cell
- Crystal system: trigonal

Structure (Quantum ESPRESSO input):
```
&SYSTEM
  ibrav = 0, nat = 4, ntyp = 3
/
ATOMIC_SPECIES
Sc 44.96 Sc.upf
Ge 72.64 Ge.upf
Au 196.97 Au.upf
CELL_PARAMETERS angstrom
1.965 0.000 9.486
-0.983 1.702 9.486
-0.983 -1.702 9.486
ATOMIC_POSITIONS angstrom
Sc 0.000 0.000 25.744
Sc 0.000 0.000 2.713
Ge 0.000 0.000 0.000
Au 0.000 0.000 14.229
```


Entry from the Alexandria database: Dy4SnSb2 after structural relaxation (PBE-GGA). Values from VASP.

Properties
- Total moment: 0.00 Bohr magnetons per cell
- Formation energy without anion corrections: -0.7371 eV per atom
- Crystal system: tetragonal

Structure (Quantum ESPRESSO input):
```
&SYSTEM
  ibrav = 0, nat = 14, ntyp = 3
/
ATOMIC_SPECIES
Dy 162.50 Dy.upf
Sn 118.71 Sn.upf
Sb 121.76 Sb.upf
CELL_PARAMETERS angstrom
8.212 -1.189 -0.173
-1.778 8.105 0.172
-3.093 -3.573 6.814
ATOMIC_POSITIONS angstrom
Dy 6.274 -0.217 2.009
Dy 1.111 3.022 1.311
Dy 4.451 1.479 4.632
Dy 3.932 -2.828 4.568
Dy 2.015 -1.044 2.073
Dy -0.159 -2.247 5.503
Dy 0.359 2.060 5.567
Dy 5.370 3.849 1.247
Sn -0.828 3.994 3.493
Sn 0.001 0.001 0.000
Sb 2.146 -0.384 5.067
Sb 2.804 5.455 1.746
Sb 3.692 1.403 1.660
Sb -1.960 0.211 5.154
```


Entry from the Alexandria database: Sc2AlNi after structural relaxation (PBE-GGA). Values from VASP.

Properties
- Formation enthalpy at 0 K: -0.055 eV/atom
- Total moment: 0.00 Bohr magnetons per cell
- Crystal system: tetragonal

Structure (Quantum ESPRESSO input):
```
&SYSTEM
  ibrav = 0, nat = 8, ntyp = 3
/
ATOMIC_SPECIES
Sc 44.96 Sc.upf
Ni 58.69 Ni.upf
Al 26.98 Al.upf
CELL_PARAMETERS angstrom
-0.475 -4.532 -5.789
7.036 -1.963 0.959
2.462 -5.346 -0.706
ATOMIC_POSITIONS angstrom
Sc 1.175 -4.636 -3.958
Sc 4.977 -2.908 -0.018
Sc 3.963 -6.349 -2.388
Sc 7.932 -9.788 -4.709
Ni 0.000 0.000 0.000
Ni 2.634 -6.562 -4.455
Al 3.281 -3.247 -2.415
Al 6.389 -5.278 -1.081
```


Question: What is the formula in the sixth record?
Answer: Sc2AlNi


Copy entry 1 word for word.
Entry from the Alexandria database: ZrTcBi3 after structural relaxation (PBE-GGA). Values from VASP.

Properties
- Polymorph energy (0 for the lowest one): 294 meV per atom
- Formation enthalpy at 0 K: 1.140 eV/atom
- Total moment: 4.11 Bohr magnetons per cell
- Crystal system: cubic

Structure (Quantum ESPRESSO input):
```
&SYSTEM
  ibrav = 0, nat = 5, ntyp = 3
/
ATOMIC_SPECIES
Bi 208.98 Bi.upf
Zr 91.22 Zr.upf
Tc 98.00 Tc.upf
CELL_PARAMETERS angstrom
-0.938 4.170 3.670
-5.230 -1.917 0.842
1.872 -3.267 4.191
ATOMIC_POSITIONS angstrom
Bi -2.615 -0.958 0.421
Bi 0.936 -1.633 2.095
Bi -0.469 2.085 1.835
Zr 0.000 0.000 0.000
Tc -2.148 -0.507 4.351
```